# 1
# HoEr2 | Alexandria via LeMat-Bulk | PBE | relaxed
data_HoEr2
_symmetry_space_group_name_H-M 'C 1 2/m 1'
_symmetry_Int_Tables_number 12
_symmetry_space_group_name_Hall '-C 2y'
_cell_length_a 6.1231
_cell_length_b 3.5383
_cell_length_c 8.6800
_cell_angle_alpha 90.00
_cell_angle_beta 103.69
_cell_angle_gamma 90.00
loop_
_atom_site_label
_atom_site_type_symbol
_atom_site_fract_x
_atom_site_fract_y
_atom_site_fract_z
_atom_site_occupancy
Ho1 Ho 0.0000 0.0000 0.0000 1
Er1 Er 0.2214 0.0000 0.6656 1
# magnetization = 0.000 μB per atom
# E = -4.57 eV/atom
# calculated formation energy = -0.003 eV per atom


# 2
# Zn2Cu4Ni | Alexandria via LeMat-Bulk | PBE | relaxed
data_Zn2Cu4Ni
_symmetry_space_group_name_H-M 'P 1'
_symmetry_Int_Tables_number 1
_symmetry_space_group_name_Hall 'P 1'
_cell_length_a 5.2122
_cell_length_b 5.7350
_cell_length_c 6.8453
_cell_angle_alpha 104.38
_cell_angle_beta 111.63
_cell_angle_gamma 102.88
loop_
_atom_site_label
_atom_site_type_symbol
_atom_site_fract_x
_atom_site_fract_y
_atom_site_fract_z
_atom_site_occupancy
Zn1 Zn 0.0000 0.0000 0.0000 1
Zn2 Zn 0.0728 0.5466 0.8548 1
Zn3 Zn 0.2190 0.7085 0.5573 1
Zn4 Zn 0.7127 0.7048 0.5532 1
Cu1 Cu 0.1502 0.1297 0.7059 1
Cu2 Cu 0.2932 0.2717 0.4265 1
Cu3 Cu 0.3609 0.8491 0.2740 1
Cu4 Cu 0.4366 0.4157 0.1354 1
Cu5 Cu 0.5015 0.9865 0.9921 1
Cu6 Cu 0.5772 0.5591 0.8520 1
Cu7 Cu 0.7907 0.2697 0.4240 1
Cu8 Cu 0.9245 0.4187 0.1382 1
Ni1 Ni 0.6465 0.1285 0.7074 1
Ni2 Ni 0.8600 0.8482 0.2781 1
# magnetization = 0.000 μB per atom
# E = -3.60 eV/atom
# calculated formation energy = -0.073 eV per atom


# 3
# Pm12Tm5Mg | Alexandria via LeMat-Bulk | PBE | relaxed
data_Pm12Tm5Mg
_symmetry_space_group_name_H-M 'C m m m'
_symmetry_Int_Tables_number 65
_symmetry_space_group_name_Hall '-C 2 2'
_cell_length_a 11.5221
_cell_length_b 17.5564
_cell_length_c 5.8432
_cell_angle_alpha 90.00
_cell_angle_beta 90.00
_cell_angle_gamma 90.00
loop_
_atom_site_label
_atom_site_type_symbol
_atom_site_fract_x
_atom_site_fract_y
_atom_site_fract_z
_atom_site_occupancy
Pm1 Pm 0.1498 0.0000 0.0000 1
Pm2 Pm 0.1524 0.5000 0.5000 1
Pm3 Pm 0.1610 0.3433 0.0000 1
Pm4 Pm 0.1637 0.1608 0.5000 1
Tm1 Tm 0.0000 0.0000 0.5000 1
Tm2 Tm 0.0000 0.1758 0.0000 1
Tm3 Tm 0.0000 0.3247 0.5000 1
Mg1 Mg 0.0000 0.5000 0.0000 1
# magnetization = 0.000 μB per atom
# E = -4.42 eV/atom
# calculated formation energy = 0.081 eV per atom


# 4
# CaAgW2 | Alexandria via LeMat-Bulk | PBE | relaxed
data_CaAgW2
_symmetry_space_group_name_H-M 'C 1 m 1'
_symmetry_Int_Tables_number 8
_symmetry_space_group_name_Hall 'C -2y'
_cell_length_a 9.5603
_cell_length_b 2.7215
_cell_length_c 5.8761
_cell_angle_alpha 90.00
_cell_angle_beta 93.89
_cell_angle_gamma 90.00
loop_
_atom_site_label
_atom_site_type_symbol
_atom_site_fract_x
_atom_site_fract_y
_atom_site_fract_z
_atom_site_occupancy
Ca1 Ca 0.0000 0.0000 0.0000 1
Ag1 Ag 0.2514 0.5000 0.2387 1
W1 W 0.2399 0.0000 0.6913 1
W2 W 0.4862 0.0000 0.5199 1
# magnetization = 0.000 μB per atom
# E = -6.98 eV/atom
# calculated formation energy = 0.707 eV per atom


# 5
# Tb2EuSn | Alexandria via LeMat-Bulk | PBE | relaxed
data_Tb2EuSn
_symmetry_space_group_name_H-M 'P 4/m m m'
_symmetry_Int_Tables_number 123
_symmetry_space_group_name_Hall '-P 4 2'
_cell_length_a 4.9335
_cell_length_b 4.9335
_cell_length_c 4.7938
_cell_angle_alpha 90.00
_cell_angle_beta 90.00
_cell_angle_gamma 90.00
loop_
_atom_site_label
_atom_site_type_symbol
_atom_site_fract_x
_atom_site_fract_y
_atom_site_fract_z
_atom_site_occupancy
Tb1 Tb 0.0000 0.5000 0.0000 1
Eu1 Eu 0.0000 0.0000 0.5000 1
Sn1 Sn 0.5000 0.5000 0.5000 1
# magnetization = 1.888 μB per atom
# E = -6.27 eV/atom
# calculated formation energy = -0.383 eV per atom


# 6
# Ga2SiSn | Alexandria via LeMat-Bulk | PBE | relaxed
data_Ga2SiSn
_symmetry_space_group_name_H-M 'R -3 m'
_symmetry_Int_Tables_number 166
_symmetry_space_group_name_Hall '-R 3 2"'
_cell_length_a 3.7299
_cell_length_b 3.7299
_cell_length_c 24.1985
_cell_angle_alpha 90.00
_cell_angle_beta 90.00
_cell_angle_gamma 120.00
loop_
_atom_site_label
_atom_site_type_symbol
_atom_site_fract_x
_atom_site_fract_y
_atom_site_fract_z
_atom_site_occupancy
Ga1 Ga 0.0000 0.0000 0.1134 1
Si1 Si 0.0000 0.0000 0.5000 1
Sn1 Sn 0.0000 0.0000 0.0000 1
# magnetization = 0.000 μB per atom
# raw formation energy = 0.22 eV per atom
# E = -3.65 eV/atom


Which of these has the highest E? Zn2Cu4Ni